Crystalline NbHRh3 at its relaxed geometry. Source: Alexandria via LeMat-Bulk, functional GGA-PBE.

Geometry as POSCAR:
```
NbHRh3
1.0
2.0270 2.4841 3.8781
4.4161 -1.8184 -1.5844
0.1509 3.9830 -3.0712
H Rh Nb
2 6 2
Cartesian
1.6485 1.1622 -0.1944
4.9455 3.4865 -0.5832
2.2426 2.2195 -2.9160
4.8580 0.9848 -2.1994
4.3513 2.4292 2.1385
4.2639 -0.0725 0.5222
2.3301 4.7211 -1.2998
1.7359 3.6638 1.4218
0.0000 0.0000 0.0000
3.2970 2.3243 -0.3888
```

density of states at the Fermi level	4.50	states/eV/cell
energy above the most stable polymorph in this dataset	184	meV/atom
raw total energy	-0.5386	Ry per atom



Crystalline Tb8Dy5Tl at its relaxed geometry. Source: Alexandria via LeMat-Bulk, functional GGA-PBE.

Geometry as POSCAR:
```
Tb8Dy5Tl
1.0
-1.0616 8.2965 0.9815
2.5532 -1.7353 -7.8353
-7.3978 -3.7034 1.5744
Tb Dy Tl
8 5 1
Cartesian
-1.7132 -2.3639 -4.9896
-4.4497 0.0138 -5.2006
-2.6377 4.3772 -0.7597
-0.9805 2.3057 -3.8209
-5.6206 5.1049 1.1794
-6.4811 1.3965 -0.9885
-2.9138 0.7254 -1.0951
1.1717 -0.1286 -5.4425
-4.2297 2.2965 1.2780
-4.3753 2.9588 -3.4921
0.0180 5.0169 -5.8579
-0.1803 -0.8344 -2.1953
-7.2748 -1.4258 0.9866
-4.5372 -1.5711 -2.4914
```

density of states at the Fermi level	18.43	states/eV/cell
ΔH_f (0 K)	0.1943	eV/atom
raw total energy	-0.3134	Ry per atom



Crystalline Tl2OsWAu at its relaxed geometry. Source: Alexandria via LeMat-Bulk, functional GGA-PBE.

Geometry as POSCAR:
```
Tl2OsWAu
1.0
-3.0374 -3.2794 2.9962
-2.4338 -1.4792 -4.0863
3.5803 -3.9559 -0.7004
Os Au Tl W
1 1 2 1
Cartesian
-0.9455 -4.3573 -0.8953
-1.2169 -0.7396 -2.0432
-1.5187 -1.6397 1.4981
1.7901 -1.9779 -0.3502
0.0000 0.0000 0.0000
```

density of states at the Fermi level	4.67	states/eV/cell
ΔH_f (0 K)	2.1074	eV/atom
raw total energy	-0.3183	Ry per atom



Crystalline PaNbW at its relaxed geometry. Source: Alexandria via LeMat-Bulk, functional GGA-PBE.

Geometry as POSCAR:
```
PaNbW
1.0
3.3749 0.0000 0.0000
0.0000 3.3749 0.0000
-1.6875 -1.6875 5.3052
W Pa Nb
1 1 1
Cartesian
1.6875 1.6875 1.8680
0.0000 0.0000 0.0514
0.0000 0.0000 3.3859
```

density of states at the Fermi level	3.16	states/eV/cell
energy above the most stable polymorph in this dataset	0	meV/atom
ΔH_f (0 K)	0.2120	eV/atom
raw total energy	-0.7811	Ry per atom



Crystalline DyPuAs2Rh5 at its relaxed geometry. Source: Alexandria via LeMat-Bulk, functional GGA-PBE.

Geometry as POSCAR:
```
DyPuAs2Rh5
1.0
3.9715 0.0000 0.0000
0.0000 3.9715 0.0000
0.0000 0.0000 11.5544
As Rh Dy Pu
2 5 1 1
Cartesian
0.0000 0.0000 8.1558
0.0000 0.0000 3.3986
0.0000 0.0000 5.7772
1.9858 0.0000 9.5842
0.0000 1.9858 9.5842
1.9858 0.0000 1.9702
0.0000 1.9858 1.9702
1.9858 1.9858 5.7772
0.0000 0.0000 0.0000
```

density of states at the Fermi level	12.54	states/eV/cell
ΔH_f (0 K)	-0.3333	eV/atom
raw total energy	-0.5552	Ry per atom



Crystalline Nd3CdPd8 at its relaxed geometry. Source: Alexandria via LeMat-Bulk, functional GGA-PBE.

Geometry as POSCAR:
```
Nd3CdPd8
1.0
-1.4843 4.9507 1.8140
-3.2190 3.1918 -3.0748
-8.8227 -0.8778 3.4463
Pd Nd Cd
8 3 1
Cartesian
-5.3117 5.0034 -1.4616
-4.4377 5.8897 1.0016
-8.8623 5.4352 2.7249
-9.7305 4.5548 0.2779
-10.4734 7.0327 1.1859
-4.7285 1.1493 1.2642
-3.6899 3.3953 0.0876
-11.4936 4.7806 2.3581
-9.4238 2.3150 2.5108
-6.6200 3.7032 1.0165
-4.8837 8.0532 -1.1646
-7.5261 6.7449 0.2437
```

density of states at the Fermi level	5.68	states/eV/cell
ΔH_f (0 K)	-0.7133	eV/atom
raw total energy	-0.4001	Ry per atom



Crystalline LiAg at its relaxed geometry. Source: Alexandria via LeMat-Bulk, functional GGA-PBE.

Geometry as POSCAR:
```
LiAg
1.0
4.2192 0.0000 0.0000
2.1096 3.6539 0.0000
2.1096 1.2180 3.4449
Ag Li
1 1
Cartesian
0.0000 0.0000 0.0000
6.3287 3.6539 2.5837
```

density of states at the Fermi level	0.26	states/eV/cell
ΔH_f (0 K)	0.3556	eV/atom
raw total energy	-0.1490	Ry per atom



Crystalline Ho6Er3Al at its relaxed geometry. Source: Alexandria via LeMat-Bulk, functional GGA-PBE.

Geometry as POSCAR:
```
Ho6Er3Al
1.0
-0.5059 -6.8971 5.0095
4.2022 -4.5651 -5.8671
7.4152 2.1225 3.6649
Er Ho Al
6 12 2
Cartesian
3.8076 -4.9072 -2.6678
9.1319 -4.2614 -1.1913
6.5126 -0.3531 1.7768
1.9796 -5.0782 3.9985
4.5989 -8.9866 1.0305
7.3039 -4.4325 5.4751
6.1611 -6.4508 -0.8428
0.7142 -3.2005 1.1344
10.3973 -6.1391 1.6729
8.2469 -8.9322 0.8919
6.0799 -2.9055 -0.8761
5.0316 -6.4341 3.6834
2.8646 -0.4075 1.9153
3.0362 -6.0290 0.7799
8.0754 -3.3107 2.0274
8.4356 -7.6903 4.2768
2.6759 -1.6493 -1.4695
4.9504 -2.8889 3.6501
0.0000 0.0000 0.0000
5.5558 -4.6698 1.4036
```

density of states at the Fermi level	37.03	states/eV/cell
ΔH_f (0 K)	0.1206	eV/atom
raw total energy	-0.3211	Ry per atom



Crystalline AcB2IrRu at its relaxed geometry. Source: Alexandria via LeMat-Bulk, functional GGA-PBE.

Geometry as POSCAR:
```
AcB2IrRu
1.0
3.9977 0.0000 0.0000
0.0000 3.9977 0.0000
-1.9989 -1.9989 5.2777
B Ru Ir Ac
2 1 1 1
Cartesian
1.9989 1.9989 1.8771
0.0000 0.0000 3.4006
0.0000 1.9989 2.6388
1.9989 0.0000 2.6388
0.0000 0.0000 0.0000
```

density of states at the Fermi level	1.04	states/eV/cell
ΔH_f (0 K)	-0.5520	eV/atom
raw total energy	-0.5639	Ry per atom



Crystalline LaHo5Tm5 at its relaxed geometry. Source: Alexandria via LeMat-Bulk, functional GGA-PBE.

Geometry as POSCAR:
```
LaHo5Tm5
1.0
6.0525 0.0000 0.0000
-3.0262 5.2416 0.0000
0.0000 0.0000 11.4322
Tm La Ho
5 1 5
Cartesian
3.0262 1.7472 9.5935
0.0000 3.4944 7.6398
0.0000 3.4944 3.7924
3.0262 1.7472 1.8387
0.0000 0.0000 0.0000
0.0000 3.4944 0.0000
1.5226 0.8791 5.7161
0.0000 0.0000 3.0103
4.5299 0.8791 5.7161
3.0262 3.4835 5.7161
0.0000 0.0000 8.4219
```

density of states at the Fermi level	17.27	states/eV/cell
ΔH_f (0 K)	0.3228	eV/atom
raw total energy	-0.3115	Ry per atom



Crystalline BaPdF2 at its relaxed geometry. Source: Alexandria via LeMat-Bulk, functional GGA-PBE.

Geometry as POSCAR:
```
BaPdF2
1.0
2.5781 0.0000 4.0417
-1.2891 2.2327 4.0417
-1.2891 -2.2327 4.0417
F Pd Ba
2 1 1
Cartesian
0.0000 0.0000 2.8985
0.0000 0.0000 9.2265
0.0000 0.0000 6.0625
0.0000 0.0000 0.0000
```

density of states at the Fermi level	0.00	states/eV/cell
energy above the most stable polymorph in this dataset	175	meV/atom
raw total energy	-0.3528	Ry per atom
ΔE_f (raw)	-201	kJ/mol of atoms



Crystalline Tb5Tm2Ga4 at its relaxed geometry. Source: Alexandria via LeMat-Bulk, functional GGA-PBE.

Geometry as POSCAR:
```
Tb5Tm2Ga4
1.0
4.6857 0.0000 0.0000
0.0000 10.8121 0.0000
-2.3429 -5.4060 6.6268
Tm Tb Ga
2 5 4
Cartesian
0.0000 0.0000 2.5838
2.3429 5.4060 4.0430
2.3429 -1.8131 4.6172
0.0000 3.5929 2.0096
2.3429 1.8131 4.6172
0.0000 7.2192 2.0096
2.3429 0.0000 0.0000
2.3429 5.4060 1.2433
0.0000 1.5310 0.0000
0.0000 0.0000 5.3835
0.0000 9.2811 0.0000
```

density of states at the Fermi level	13.73	states/eV/cell
ΔH_f (0 K)	-0.0320	eV/atom
raw total energy	-0.2977	Ry per atom



Crystalline Ca2TmCuSe4 at its relaxed geometry. Source: Alexandria via LeMat-Bulk, functional GGA-PBE.

Geometry as POSCAR:
```
Ca2TmCuSe4
1.0
4.0832 0.0000 0.0000
0.0000 7.0816 0.0668
0.0000 -2.5304 6.6227
Se Ca Cu Tm
4 2 1 1
Cartesian
0.0000 4.6498 1.6464
0.0000 -0.0985 5.0432
2.0416 1.1028 1.4970
2.0416 3.4484 5.1926
2.0416 -1.2652 3.3114
0.0000 2.2756 3.3448
0.0000 0.0000 0.0000
2.0416 3.5408 0.0334
```

density of states at the Fermi level	0.11	states/eV/cell
raw total energy	-0.3539	Ry per atom
ΔE_f (raw)	-145	kJ/mol of atoms



Crystalline Ni2WCl at its relaxed geometry. Source: Alexandria via LeMat-Bulk, functional GGA-PBE.

Geometry as POSCAR:
```
Ni2WCl
1.0
4.5971 0.0000 0.0000
0.0000 4.5971 0.0000
0.0000 0.0000 2.6981
W Ni Cl
1 2 1
Cartesian
2.2985 0.0000 1.3490
0.0000 0.0000 0.0000
2.2985 2.2985 0.0000
0.0000 2.2985 1.3490
```

density of states at the Fermi level	5.49	states/eV/cell
energy above the most stable polymorph in this dataset	675	meV/atom
raw total energy	-0.4239	Ry per atom
ΔE_f (raw)	79	kJ/mol of atoms



Crystalline NiHPtRh2 at its relaxed geometry. Source: Alexandria via LeMat-Bulk, functional GGA-PBE.

Geometry as POSCAR:
```
NiHPtRh2
1.0
-3.6571 -0.4282 1.2133
-0.9701 -1.4837 -3.4478
0.8411 -3.5389 1.2863
H Rh Pt Ni
1 2 1 1
Cartesian
0.0000 0.0000 0.0000
-1.8285 -0.2141 0.6066
-0.4851 -0.7419 -1.7239
-1.8931 -2.7254 -0.4741
0.4205 -1.7695 0.6432
```

density of states at the Fermi level	6.02	states/eV/cell
energy above the most stable polymorph in this dataset	0	meV/atom
raw total energy	-0.4395	Ry per atom



Crystalline ScAlCr2Os at its relaxed geometry. Source: Alexandria via LeMat-Bulk, functional GGA-PBE.

Geometry as POSCAR:
```
ScAlCr2Os
1.0
-1.1185 4.4389 -0.8467
-1.3934 0.5586 4.7692
4.3287 1.3028 1.1122
Cr Al Os Sc
2 1 1 1
Cartesian
-0.5592 2.2195 -0.4234
2.1643 0.6514 0.5561
0.9084 3.1502 2.5173
0.0000 0.0000 0.0000
-0.6967 0.2793 2.3846
```

density of states at the Fermi level	4.74	states/eV/cell
ΔH_f (0 K)	0.8457	eV/atom
raw total energy	-0.5339	Ry per atom



Crystalline Pu5Hg2Os2 at its relaxed geometry. Source: Alexandria via LeMat-Bulk, functional GGA-PBE.

Geometry as POSCAR:
```
Pu5Hg2Os2
1.0
-0.3171 7.2800 2.1768
-4.3734 1.5969 -5.9776
-4.3010 -2.3745 7.3144
Os Pu Hg
4 10 4
Cartesian
-0.7307 2.8416 -0.0605
-2.8480 2.0472 -3.5257
-1.8426 6.8297 -0.2751
-3.9599 6.0352 -3.7403
-2.3453 4.4384 -1.9004
-6.5978 1.8128 2.0370
-4.3534 -0.3110 4.6295
-5.2751 3.4638 -3.2916
-3.0306 1.3400 -0.6991
-3.7165 3.0385 6.8052
-2.3937 4.6895 1.4765
-5.9609 5.1624 4.2127
0.0000 0.0000 0.0000
-4.6382 6.8133 -1.1160
-2.7714 -0.6733 1.8478
-5.1167 3.7652 -0.0526
-5.9030 -0.1044 -0.5110
-3.8749 2.7372 3.5662
```

density of states at the Fermi level	69.12	states/eV/cell
ΔH_f (0 K)	-0.0458	eV/atom
raw total energy	-0.7769	Ry per atom